Entry 1:
DFT (PBE-GGA) results for an optimized crystal structure of Ir2PtPb.

a b c (Å): 2.8621 4.8468 10.0499
angles (deg): 90.00 90.00 90.00
Closest atoms and distances in Å follow each position.
Space group Imm2 (No. 44)
Asymmetric unit:
1 Ir 0.0000 0.0000 0.0000 x2  4 Ir 2.65-2.86, 4 Pt 2.83, 2 Pb 2.93
2 Ir 0.0000 0.5000 0.2781 x2  4 Ir 2.65-2.86, 4 Pb 2.82, 2 Pt 2.90
3 Pt 0.0000 0.0000 0.5271 x2  6 Ir 2.83-2.90, 2 Pt 2.86, 2 Pb 3.09
4 Pb 0.0000 0.5000 0.7546 x2  6 Ir 2.82-2.93, 2 Pb 2.86, 2 Pt 3.09

M_tot = 0.0 μB/cell
DFT total energy = -6.447 eV per atom
Density = 18.74 g/cm3

=====

Entry 2:
DFT (PBE-GGA) results for an optimized crystal structure of AcCdSiHg.

a b c (Å): 7.4933 7.4933 7.4933
angles (deg): 90.00 90.00 90.00
Closest atoms and distances in Å follow each position.
Space group F-43m (No. 216)
Asymmetric unit:
1 Ac 0.0000 0.0000 0.0000 x4  4 Si 3.24, 4 Hg 3.24
2 Cd 0.0000 0.0000 0.5000 x4  4 Hg 3.24, 4 Si 3.24
3 Si 0.2500 0.2500 0.2500 x4  4 Cd 3.24, 4 Ac 3.24
4 Hg 0.2500 0.2500 0.7500 x4  4 Cd 3.24, 4 Ac 3.24

M_tot = 0.0 μB/cell
E_form (uncorrected) = -196 meV per atom
Density = 8.97 g/cm3

=====

Entry 3:
DFT (PBE-GGA) results for an optimized crystal structure of ScGaB2.

a b c (Å): 3.8700 3.8700 14.4429
angles (deg): 90.00 90.00 90.00
Closest atoms and distances in Å follow each position.
Space group I4_1/amd (No. 141, origin choice 2)
Asymmetric unit:
1 Sc 0.0000 0.2500 0.3750 x4  4 Ga 2.74, 8 B 2.82
2 Ga 0.0000 0.2500 0.8750 x4  4 B 2.05
3 B 0.0000 0.0000 0.0000 x8  2 B 1.93, 2 Ga 2.05

M_tot = 0.0 μB/cell
DFT total energy = -5.361 eV per atom
Density = 4.19 g/cm3